Entry 1:
# CuPd2Pt2

A relaxed structure of CuPd2Pt2 (PBE-GGA, Alexandria).

POSCAR file:
```
CuPd2Pt2
1.0
7.7183 0.0000 0.0000
0.0000 7.7183 0.0000
0.0000 0.0000 2.7874
Cu Pd Pt
2 4 4
direct
0.0000 0.0000 0.0000
0.5000 0.5000 0.0000
0.1760 0.3240 0.0000
0.3240 0.8240 0.0000
0.6760 0.1760 0.0000
0.8240 0.6760 0.0000
0.1242 0.6242 0.5000
0.3758 0.1242 0.5000
0.6242 0.8758 0.5000
0.8758 0.3758 0.5000
```



Entry 2:
# Cu6PdPt2

A relaxed structure of Cu6PdPt2 (PBE-GGA, Alexandria).

POSCAR file:
```
Cu6PdPt2
1.0
4.8436 0.0000 0.0000
-2.4218 4.1947 0.0000
0.0000 0.0000 6.8533
Cu Pd Pt
6 1 2
direct
0.0000 0.4988 0.3218
0.0000 0.5012 0.6782
0.4988 0.0000 0.3218
0.4988 0.4988 0.6782
0.5012 0.0000 0.6782
0.5012 0.5012 0.3218
0.0000 0.0000 0.5000
0.3333 0.6667 0.0000
0.6667 0.3333 0.0000
```



Entry 3:
# Cu5Pd4Pt

A relaxed structure of Cu5Pd4Pt (PBE-GGA, Alexandria).

POSCAR file:
```
Cu5Pd4Pt
1.0
3.0012 0.0000 0.0000
0.0000 3.0012 0.0000
0.0000 0.0000 15.2792
Cu Pd Pt
5 4 1
direct
0.0000 0.0000 0.0000
0.0000 0.0000 0.1991
0.0000 0.0000 0.3995
0.0000 0.0000 0.6005
0.0000 0.0000 0.8009
0.5000 0.5000 0.0998
0.5000 0.5000 0.2989
0.5000 0.5000 0.7011
0.5000 0.5000 0.9002
0.5000 0.5000 0.5000
```



Entry 4:
# CuPdPt2

A relaxed structure of CuPdPt2 (PBE-GGA, Alexandria).

POSCAR file:
```
CuPdPt2
1.0
1.3794 0.7964 8.9931
-1.3794 0.7964 8.9931
0.0000 -1.5928 8.9931
Cu Pd Pt
1 1 2
direct
0.0000 0.0000 0.0000
0.5000 0.5000 0.5000
0.2542 0.2542 0.2542
0.7458 0.7458 0.7458
```



Entry 5:
# Cu6Pd3Pt

A relaxed structure of Cu6Pd3Pt (PBE-GGA, Alexandria).

POSCAR file:
```
Cu6Pd3Pt
1.0
7.3311 0.0000 0.0000
0.0000 4.2399 0.0000
-2.4058 0.0000 8.6558
Cu Pd Pt
12 6 2
direct
0.0465 0.2500 0.3991
0.1432 0.7500 0.2031
0.1490 0.2500 0.6956
0.2489 0.2500 0.9912
0.3421 0.7500 0.7968
0.4442 0.2500 0.6004
0.5558 0.7500 0.3996
0.6579 0.2500 0.2032
0.7511 0.7500 0.0088
0.8510 0.7500 0.3044
0.8568 0.2500 0.7969
0.9535 0.7500 0.6009
0.2484 0.7500 0.4999
0.3506 0.2500 0.2979
0.4488 0.7500 0.1007
0.5512 0.2500 0.8993
0.6494 0.7500 0.7021
0.7516 0.2500 0.5001
0.0486 0.7500 0.9000
0.9514 0.2500 0.1000
```



Entry 6:
# Cu5Pd3Pt2

A relaxed structure of Cu5Pd3Pt2 (PBE-GGA, Alexandria).

POSCAR file:
```
Cu5Pd3Pt2
1.0
-4.7598 6.3814 2.4001
4.7598 -6.3814 2.4001
4.7598 6.3814 -2.4001
Cu Pd Pt
10 6 4
direct
0.1656 0.7292 0.8948
0.2500 0.0067 0.7567
0.2500 0.2500 0.0000
0.2500 0.4933 0.2433
0.3344 0.2292 0.5637
0.6656 0.7708 0.4363
0.7500 0.5067 0.7567
0.7500 0.7500 0.0000
0.7500 0.9933 0.2433
0.8344 0.2708 0.1052
0.1617 0.1028 0.2645
0.2500 0.7500 0.5000
0.3383 0.6028 0.9412
0.6617 0.3972 0.0588
0.7500 0.2500 0.5000
0.8383 0.8972 0.7355
0.1798 0.4042 0.5840
0.3202 0.9042 0.2244
0.6798 0.0958 0.7756
0.8202 0.5958 0.4160
```



Entry 7:
# CuPdPt2

A relaxed structure of CuPdPt2 (PBE-GGA, Alexandria).

POSCAR file:
```
CuPdPt2
1.0
2.7577 0.0000 0.0000
0.0000 3.8964 0.0000
0.0000 0.0000 5.5222
Cu Pd Pt
1 1 2
direct
0.0000 0.0000 0.0000
0.5000 0.5000 0.2448
0.0000 0.0000 0.5021
0.5000 0.5000 0.7568
```



Entry 8:
# Cu2Pd6Pt

A relaxed structure of Cu2Pd6Pt (PBE-GGA, Alexandria).

POSCAR file:
```
Cu2Pd6Pt
1.0
6.8731 -1.3503 0.0000
6.8731 1.3503 0.0000
-5.3202 0.0000 7.3892
Cu Pd Pt
2 6 1
direct
0.1211 0.1211 0.0558
0.8789 0.8789 0.9442
0.0579 0.0579 0.2690
0.2365 0.2365 0.6346
0.3435 0.3435 0.1673
0.6565 0.6565 0.8327
0.7635 0.7635 0.3654
0.9421 0.9421 0.7310
0.0000 0.0000 0.5000
```



Entry 9:
# CuPd6Pt8

A relaxed structure of CuPd6Pt8 (PBE-GGA, Alexandria).

POSCAR file:
```
CuPd6Pt8
1.0
3.6538 2.1095 5.4102
-3.6538 2.1095 5.4102
0.0000 -4.2191 5.4102
Cu Pd Pt
1 6 8
direct
0.0000 0.0000 0.0000
0.1016 0.6503 0.3552
0.3497 0.6448 0.8984
0.3552 0.1016 0.6503
0.6448 0.8984 0.3497
0.6503 0.3552 0.1016
0.8984 0.3497 0.6448
0.1433 0.4308 0.8248
0.1752 0.8567 0.5692
0.2445 0.2445 0.2445
0.4308 0.8248 0.1433
0.5692 0.1752 0.8567
0.7555 0.7555 0.7555
0.8248 0.1433 0.4308
0.8567 0.5692 0.1752
```



Entry 10:
# Cu5Pd4Pt3

A relaxed structure of Cu5Pd4Pt3 (PBE-GGA, Alexandria).

POSCAR file:
```
Cu5Pd4Pt3
1.0
4.7439 -2.3346 0.0000
4.7439 2.3346 0.0000
-2.6347 0.0000 8.3475
Cu Pd Pt
5 4 3
direct
0.0000 0.0000 0.0000
0.1099 0.1099 0.2949
0.1174 0.1174 0.6054
0.8826 0.8826 0.3946
0.8901 0.8901 0.7051
0.2158 0.2158 0.9093
0.3622 0.3622 0.5409
0.6378 0.6378 0.4591
0.7842 0.7842 0.0907
0.3740 0.3740 0.2361
0.5000 0.5000 0.0000
0.6260 0.6260 0.7639
```



no.,magnetization (μB per formula unit),ΔE_f (eV per atom)
1,0.00,0.23
2,0.00,0.19
3,0.00,-0.12
4,0.00,-0.10
5,0.00,-0.11
6,0.00,0.16
7,0.00,-0.07
8,0.00,0.05
9,0.00,0.18
10,0.00,0.18